Below is a geometry-optimized Mg3IrCl structure, with properties calculated at the PBE level.

E above lowest polymorph	0.412	eV per atom
total energy	-14.229	eV per cell
E_form (uncorrected)	24	kJ/mol of atoms

Unit cell a=4.6364 b=4.6364 c=4.6364 alpha=90.00 beta=90.00 gamma=90.00
Closest atoms and distances in Å follow each position.
Space group Pm-3m (No. 221)
Unique sites:
Mg 0.0000 0.0000 0.5000  2 Cl 2.32
Ir 0.5000 0.5000 0.5000  12 Mg 3.28
Cl 0.0000 0.0000 0.0000  6 Mg 2.32

Below is a geometry-optimized Sn2PAu2 structure, with properties calculated at the PBE level.

E above lowest polymorph	0.292	eV per atom
total energy	-35.687	eV per cell
formation energy from the elements	0.425	eV per atom

Unit cell a=4.4901 b=4.4901 c=11.9793 alpha=90.00 beta=90.00 gamma=90.00
Closest atoms and distances in Å follow each position.
Space group I4/mmm (No. 139)
Unique sites:
Sn 0.0000 0.5000 0.2500  4 Au 2.81
P 0.0000 0.0000 0.0000  8 Au 3.44, 8 Sn 3.74
Au 0.0000 0.0000 0.3905  1 Au 2.62, 4 Sn 2.81

Below is a geometry-optimized Ir5Ru3 structure, with properties calculated at the PBE level.

E above lowest polymorph	0.000	eV per atom
total energy	-144.687	eV per cell
formation energy from the elements	-0.026	eV per atom

Unit cell a=3.8515 b=3.8515 c=15.3985 alpha=90.00 beta=90.00 gamma=90.00
Closest atoms and distances in Å follow each position.
Space group I-4m2 (No. 119)
Unique sites:
Ir 0.0000 0.0000 0.0000  8 Ru 2.71-2.72, 4 Ir 2.72
Ir 0.0000 0.0000 0.2492  8 Ir 2.71-2.73, 4 Ru 2.73-2.75
Ir 0.0000 0.5000 0.1251  6 Ir 2.71-2.73, 6 Ru 2.72
Ru 0.0000 0.0000 0.5000  4 Ru 2.71, 8 Ir 2.72
Ru 0.0000 0.5000 0.6234  10 Ir 2.71-2.75, 2 Ru 2.71